(1)
LiCe2Pm3Te6 | PBE | optimized geometry

```
12
Lattice="9.7080 -2.2178 0.0000 9.7080 2.2178 0.0000 -2.1053 0.0000 8.6941" Properties=species:S:1:pos:R:3 pbc="T T T"
Li 0.0000 0.0000 0.0000
Ce 5.0694 0.0000 5.7936
Ce 12.2413 0.0000 2.9005
Pm -1.0526 0.0000 4.3470
Pm 6.0669 0.0000 1.4724
Pm 11.2439 0.0000 7.2217
Te 2.9556 0.0000 0.6686
Te 1.9908 0.0000 5.0704
Te 9.1787 0.0000 2.0863
Te 8.1321 0.0000 6.6078
Te 15.3199 0.0000 3.6237
Te 14.3552 0.0000 8.0255
```

size of the total moment: 2.3 μB per formula unit
uncorrected formation energy: -1.370 eV/atom
raw total energy: -5.2769 eV per atom

=====

(2)
Ce2Th2MnGe4 | PBE | optimized geometry

```
9
Lattice="-3.6360 3.6360 3.8408 3.6360 -3.6360 3.8408 3.6360 3.6360 -3.8408" Properties=species:S:1:pos:R:3 pbc="T T T"
Ce 0.0000 0.0000 1.5396
Ce 0.0000 0.0000 6.1420
Th 3.6360 0.0000 1.9204
Th 0.0000 3.6360 1.9204
Mn 0.0000 0.0000 3.8408
Ge 1.8887 1.8887 0.0000
Ge 1.7474 -1.7474 3.8408
Ge -1.7474 1.7474 3.8408
Ge 1.7474 1.7474 3.8408
```

size of the total moment: 0.0 μB per formula unit
energy of formation from the pure elements: -0.46 eV/atom
raw total energy: -6.4980 eV per atom